VASP calculation (GGA-PBE) on crystalline Pm8PrIn2 at its relaxed geometry.

Geometry as POSCAR:
```
Pm8PrIn2
1.0
-3.3862 3.4011 -2.5810
0.8494 -6.2173 -8.1105
-4.4252 -8.3443 -3.9932
Pm Pr In
8 1 2
Direct
0.2323 0.1993 0.1993
0.7248 0.8727 0.4005
0.7620 0.4557 0.4557
0.2380 0.5443 0.5443
0.2752 0.5995 0.1273
0.7677 0.8007 0.8007
0.2752 0.1273 0.5995
0.7248 0.4005 0.8727
0.0000 0.0000 0.0000
0.7561 0.2890 0.2890
0.2439 0.7110 0.7110
```

Computed properties:
The value obtained for the volume is 33.5 Å³ per atom. The calculation puts the total moment at 0.00 μB per cell. The space group is No. 12. The calculation puts the formation energy at -0.07 eV per atom.



VASP calculation (GGA-PBE) on crystalline MgVRu2 at its relaxed geometry.

Geometry as POSCAR:
```
MgVRu2
1.0
4.5402 -1.6134 -3.0976
-0.9877 4.7160 3.0976
-3.1453 0.0162 4.7873
Ru Mg V
2 1 1
Direct
0.0000 0.7210 0.7210
0.0000 0.2790 0.2790
0.0000 0.0000 0.0000
0.0000 0.5000 0.5000
```

Computed properties:
The value obtained for the volume is 16.1 Å³ per atom. The calculation puts the total moment at 0.01 μB per cell. The space group is No. 71. The calculation puts the formation energy at 0.53 eV per atom.



VASP calculation (GGA-PBE) on crystalline Zn3Tc4 at its relaxed geometry.

Geometry as POSCAR:
```
Zn3Tc4
1.0
1.7162 0.7066 4.4083
-4.7172 -0.3717 -0.6988
0.2852 -4.8826 0.6715
Tc Zn
4 3
Direct
0.6667 0.3333 0.5000
0.0000 0.0000 0.2597
0.3333 0.6667 0.5000
0.0000 0.0000 0.7403
0.0000 0.5000 0.0000
0.5000 0.5000 0.0000
0.5000 0.0000 0.0000
```

Computed properties:
The value obtained for the volume is 14.0 Å³ per atom. The calculation puts the total moment at 0.00 μB per cell. The space group is No. 191. The calculation puts the formation energy at 0.07 eV per atom.



VASP calculation (GGA-PBE) on crystalline ReHg2O5 at its relaxed geometry.

Geometry as POSCAR:
```
ReHg2O5
1.0
-5.9745 3.5773 4.5689
2.4810 -5.5667 7.1587
5.5002 7.4335 -1.4617
O Re Hg
20 4 8
Direct
0.7857 0.8863 0.4144
0.2143 0.1137 0.5856
0.7125 0.5395 0.0541
0.0784 0.7007 0.9547
0.9840 0.8445 0.6742
0.0443 0.6821 0.3545
0.6511 0.2335 0.7836
0.4446 0.8511 0.6052
0.2475 0.4101 0.5679
0.2403 0.0746 0.0077
0.7525 0.5899 0.4321
0.4072 0.7333 0.9109
0.0160 0.1555 0.3258
0.7597 0.9254 0.9923
0.5554 0.1489 0.3948
0.5928 0.2667 0.0891
0.3489 0.7665 0.2164
0.2875 0.4605 0.9459
0.9216 0.2993 0.0453
0.9557 0.3179 0.6455
0.8911 0.7503 0.4672
0.1089 0.2497 0.5328
0.7203 0.3363 0.9945
0.2797 0.6637 0.0055
0.3241 0.9645 0.7940
0.6759 0.0355 0.2060
0.0000 0.0000 0.0000
0.2982 0.3278 0.1720
0.5000 0.0000 0.5000
0.6459 0.3877 0.5894
0.3541 0.6123 0.4106
0.7018 0.6722 0.8280
```

Computed properties:
The value obtained for the volume is 20.2 Å³ per atom. The calculation puts the total moment at 0.00 μB per cell. The value obtained for the uncorrected formation energy is -1.07 eV per atom. The space group is No. 2.



VASP calculation (GGA-PBE) on crystalline Ca3GePb at its relaxed geometry.

Geometry as POSCAR:
```
Ca3GePb
1.0
5.6365 0.0000 0.0000
0.0000 5.6365 0.0000
0.0000 0.0000 5.6365
Ca Ge Pb
3 1 1
Direct
0.0000 0.0000 0.5000
0.0000 0.5000 0.0000
0.5000 0.0000 0.0000
0.0000 0.0000 0.0000
0.5000 0.5000 0.5000
```

Computed properties:
The value obtained for the volume is 35.8 Å³ per atom. The calculation puts the total moment at 0.00 μB per cell. The space group is No. 221. The calculation puts the formation energy at -0.32 eV per atom.



VASP calculation (GGA-PBE) on crystalline RbLi2Tl4 at its relaxed geometry.

Geometry as POSCAR:
```
RbLi2Tl4
1.0
4.3884 0.0000 0.0000
0.0000 9.6692 0.0000
0.0000 0.0000 9.6692
Tl Rb Li
8 2 4
Direct
0.0000 0.3310 0.0704
0.5000 0.5704 0.1690
0.5000 0.8310 0.4296
0.5000 0.1690 0.5704
0.0000 0.0704 0.3310
0.0000 0.9296 0.6690
0.5000 0.4296 0.8310
0.0000 0.6690 0.9296
0.0000 0.5000 0.5000
0.5000 0.0000 0.0000
0.0000 0.2279 0.7721
0.0000 0.7721 0.2279
0.5000 0.7279 0.7279
0.5000 0.2721 0.2721
```

Computed properties:
The value obtained for the volume is 29.3 Å³ per atom. The calculation puts the total moment at 0.00 μB per cell. The space group is No. 136. The calculation puts the formation energy at -0.11 eV per atom.



VASP calculation (GGA-PBE) on crystalline Y2ScB2Ru5 at its relaxed geometry.

Geometry as POSCAR:
```
Y2ScB2Ru5
1.0
-1.2149 -1.4594 -2.5136
8.4098 -4.7847 -1.2867
-3.2217 -7.2065 5.7411
Ru Sc B Y
10 2 4 4
Direct
0.5000 0.5698 0.7239
0.5000 0.4302 0.2761
0.5000 0.9302 0.2239
0.5000 0.0000 0.5000
0.5000 0.2761 0.5698
0.5000 0.0698 0.7761
0.5000 0.7239 0.4302
0.5000 0.5000 0.0000
0.5000 0.7761 0.9302
0.5000 0.2239 0.0698
0.0000 0.0000 0.0000
0.0000 0.5000 0.5000
0.0000 0.3781 0.1219
0.0000 0.8781 0.3781
0.0000 0.6219 0.8781
0.0000 0.1219 0.6219
0.0000 0.1765 0.3235
0.0000 0.8235 0.6765
0.0000 0.3235 0.8235
0.0000 0.6765 0.1765
```

Computed properties:
The value obtained for the volume is 15.0 Å³ per atom. The calculation puts the total moment at 0.00 μB per cell. The space group is No. 127. The calculation puts the formation energy at -0.43 eV per atom.



VASP calculation (GGA-PBE) on crystalline Pm3SmDy12 at its relaxed geometry.

Geometry as POSCAR:
```
Pm3SmDy12
1.0
-2.1043 0.2871 4.5746
0.2599 -5.0181 0.4345
18.3074 1.6683 8.3167
Dy Pm Sm
12 3 1
Direct
0.0000 0.5000 0.8753
0.0000 0.5000 0.6252
0.5000 0.0000 0.3748
0.5000 0.0000 0.8753
0.5000 0.5000 0.0000
0.5000 0.5000 0.7503
0.5000 0.0000 0.1247
0.5000 0.5000 0.5000
0.0000 0.5000 0.1247
0.5000 0.5000 0.2497
0.5000 0.0000 0.6252
0.0000 0.5000 0.3748
0.0000 0.0000 0.5000
0.0000 0.0000 0.2497
0.0000 0.0000 0.7503
0.0000 0.0000 0.0000
```

Computed properties:
The value obtained for the volume is 32.1 Å³ per atom. The calculation puts the total moment at 0.00 μB per cell. The space group is No. 123. The calculation puts the formation energy at 0.02 eV per atom.